First-principles (PBE with a Hubbard U) data for a relaxed MnGaF2 crystal, as listed in Alexandria via LeMat-Bulk.

Cell and atoms, written as POSCAR:
```
MnGaF2
1.0
0.0000 3.1241 3.1241
3.1241 0.0000 3.1241
3.1241 3.1241 0.0000
Ga F Mn
1 2 1
direct
0.5000 0.5000 0.5000
0.2500 0.2500 0.2500
0.7500 0.7500 0.7500
0.0000 0.0000 0.0000
```

Summary:
ρ: 4.43 g cm⁻³
DOS(E_F): 0.25 states/eV/atom
magnetization: 1.46 μB per atom
total energy: -4.72 eV per atom